The following is a PBE-GGA calculation of a relaxed structure of RbPmPbO3, from the Alexandria database.

Cell and atoms, written as POSCAR:
```
RbPmPbO3
1.0
-0.353 2.840 -2.247
-8.023 2.432 4.335
3.886 4.093 4.562
O Rb Pm Pb
6 2 2 2
Cartesian
-2.807 8.134 6.303 O
-5.326 4.100 4.546 O
-1.683 1.230 0.346 O
0.836 5.265 2.103 O
-0.877 5.291 5.352 O
-3.612 4.074 1.298 O
-3.422 6.305 4.087 Rb
-1.068 3.060 2.562 Rb
-4.957 2.650 2.655 Pm
0.467 6.715 3.994 Pm
-6.986 5.396 3.498 Pb
2.496 3.969 3.151 Pb
```

Output
- V: 249.1 Å³ per cell
- Raw formation energy: -2.098 eV per atom

---

The following is a PBE-GGA calculation of a relaxed structure of Ac8RuRh3Cl4, from the Alexandria database.

Cell and atoms, written as POSCAR:
```
Ac8RuRh3Cl4
1.0
8.591 0.000 0.000
0.000 9.436 0.580
-4.296 -4.296 6.073
Ac Cl Rh Ru
8 4 3 1
Cartesian
4.296 0.503 3.420 Ac
6.470 2.678 0.345 Ac
4.296 4.607 3.250 Ac
-2.175 2.462 6.307 Ac
0.000 0.534 3.403 Ac
2.175 2.462 6.307 Ac
2.121 2.678 0.345 Ac
0.000 4.637 3.233 Ac
4.296 0.000 0.000 Cl
2.148 -2.148 3.036 Cl
-2.148 -2.148 3.036 Cl
0.000 0.000 0.000 Cl
-2.148 2.570 3.326 Rh
4.296 4.718 0.290 Rh
2.148 2.570 3.326 Rh
0.000 4.718 0.290 Ru
```

Output
- V: 513.7 Å³ per cell
- Raw formation energy: -1.185 eV per atom

---

The following is a PBE-GGA calculation of a relaxed structure of RuN3O, from the Alexandria database.

Cell and atoms, written as POSCAR:
```
RuN3O
1.0
3.451 0.000 0.000
0.000 3.451 0.000
0.000 0.000 3.451
N O Ru
3 1 1
Cartesian
0.000 1.726 0.000 N
1.726 0.000 0.000 N
0.000 0.000 1.726 N
0.000 0.000 0.000 O
1.726 1.726 1.726 Ru
```

Output
- V: 41.1 Å³ per cell
- Raw formation energy: 2.541 eV per atom

---

The following is a PBE-GGA calculation of a relaxed structure of K4Au3, from the Alexandria database.

Cell and atoms, written as POSCAR:
```
K4Au3
1.0
3.031 -5.250 0.000
3.031 5.250 0.000
0.000 0.000 6.835
Au K
3 4
Cartesian
3.031 0.000 0.000 Au
1.516 2.625 0.000 Au
1.516 -2.625 0.000 Au
0.000 0.000 1.524 K
3.031 -1.750 3.418 K
0.000 0.000 5.311 K
3.031 1.750 3.418 K
```

Output
- Energy of formation: -67.3 meV/atom
- V: 217.5 Å³ per cell
- Offset from the most stable computed form: 0.2108 eV/atom

---

The following is a PBE-GGA calculation of a relaxed structure of PmHoLuPu, from the Alexandria database.

Cell and atoms, written as POSCAR:
```
PmHoLuPu
1.0
-0.045 -5.557 -0.491
4.654 -2.709 -1.455
2.678 -3.153 3.743
Pm Pu Ho Lu
1 1 1 1
Cartesian
0.000 0.000 0.000 Pm
5.466 -8.564 1.347 Pu
3.644 -5.709 0.898 Ho
1.822 -2.855 0.449 Lu
```

Output
- Energy of formation: 196.7 meV/atom
- V: 122.8 Å³ per cell

---

The following is a PBE-GGA calculation of a relaxed structure of Er4GaPt, from the Alexandria database.

Cell and atoms, written as POSCAR:
```
Er4GaPt
1.0
-0.449 6.142 -3.061
-1.659 -3.083 -5.944
-6.860 0.253 1.784
Er Pt Ga
8 2 2
Cartesian
-2.725 -0.402 -5.790 Er
-6.243 3.713 -1.431 Er
-2.637 3.250 -6.200 Er
-3.095 1.092 -2.429 Er
-5.949 -1.410 -4.338 Er
-3.019 4.721 -2.883 Er
-5.873 2.219 -4.792 Er
-6.331 0.061 -1.021 Er
-4.259 -1.415 -2.080 Pt
-3.654 3.197 -0.639 Pt
-1.054 1.529 -4.502 Ga
0.000 0.000 0.000 Ga
```

Output
- Energy of formation: -539.0 meV/atom
- V: 336.4 Å³ per cell

---

no.,DFT total energy (eV/atom),ρ (Mg/m³)
1,-6.15,6.47
2,-5.66,7.65
3,-5.30,6.43
4,-2.10,5.70
5,-6.85,9.86
6,-5.09,9.22